# Er4MgTc2

Crystalline Er4MgTc2 at its relaxed geometry (PBE-GGA, Alexandria). Values from VASP.

Computed properties:
Crystal system: orthorhombic
Magnetization: 0.00 μB/f.u.
Symmetry: Cmcm
Calculated density: 8.9 g/cm³
E_form: 0.083 eV/atom

```
&SYSTEM
  ibrav = 0, nat = 14, ntyp = 3
/
ATOMIC_SPECIES
Er 167.26 Er.upf
Tc 98.00 Tc.upf
Mg 24.30 Mg.upf
CELL_PARAMETERS angstrom
5.165 -0.002 0.000
-2.583 4.472 0.000
0.000 0.000 14.293
ATOMIC_POSITIONS angstrom
Er 1.291 2.235 7.147
Er 1.291 2.235 0.000
Er -1.297 3.730 3.573
Er 3.870 0.746 5.393
Er -1.289 3.725 8.900
Er 3.870 0.746 1.754
Er -1.289 3.725 12.540
Er 3.879 0.741 10.720
Tc -1.295 3.728 6.229
Tc -1.295 3.728 0.917
Tc 3.876 0.742 8.064
Tc 3.876 0.742 13.376
Mg 1.284 2.239 3.573
Mg 1.297 2.231 10.720
```